# 1
A geometry-optimized Sm3Si2Ru structure, computed with PBE.

The structure belongs to space group Pnma (No. 62); the cell edges are 11.786, 4.209 and 11.525 Å and the angles 90.00°, 90.00° and 90.00°. The inequivalent atoms are Sm at (0.060, 0.250, 0.122), Sm at (0.121, 0.750, 0.555), Sm at (0.212, 0.250, 0.799), Si at (0.024, 0.750, 0.314), Si at (0.196, 0.750, 0.990) and Ru at (0.129, 0.250, 0.360).

As for the magnetic moment: 0.0 μB per formula unit. The value obtained for the formation energy from raw total energies is -646 meV/atom. As for the crystal system: orthorhombic.

---

# 2
A geometry-optimized Sm3Si2Ru2 structure, computed with PBE.

The structure belongs to space group Pbcm (No. 57); the cell edges are 5.682, 7.740 and 13.517 Å and the angles 90.00°, 90.00° and 90.00°. The inequivalent atoms are Sm at (0.128, 0.245, 0.250), Sm at (0.356, 0.600, 0.101), Si at (0.100, 0.250, 0.000), Si at (0.356, 0.605, 0.750) and Ru at (0.147, 0.527, 0.590).

As for the magnetic moment: 0.0 μB per formula unit. The value obtained for the formation energy from raw total energies is -675 meV/atom. As for the crystal system: orthorhombic.

---

# 3
A geometry-optimized Sm3Si3Ru structure, computed with PBE.

The structure belongs to space group C2/m (No. 12); the cell edges are 10.900, 4.289 and 13.861 Å and the angles 90.00°, 111.48° and 90.00°. The inequivalent atoms are Sm at (0.020, 0.000, 0.375), Sm at (0.102, 0.000, 0.920), Sm at (0.248, 0.000, 0.228), Si at (0.058, 0.500, 0.239), Si at (0.109, 0.500, 0.074), Si at (0.143, 0.500, 0.543) and Ru at (0.246, 0.500, 0.415).

As for the magnetic moment: 0.0 μB per formula unit. The value obtained for the formation energy from raw total energies is -797 meV/atom. As for the crystal system: monoclinic.

---

# 4
A geometry-optimized SmSi2Ru4 structure, computed with PBE.

The structure belongs to space group P4_2/mnm (No. 136); the cell edges are 7.556, 7.556 and 3.883 Å and the angles 90.00°, 90.00° and 90.00°. The inequivalent atoms are Sm at (0.000, 0.000, 0.000), Si at (0.219, 0.219, 0.500) and Ru at (0.078, 0.659, 0.500).

As for the magnetic moment: 0.0 μB per formula unit. The value obtained for the formation energy from raw total energies is -597 meV/atom. As for the crystal system: tetragonal.

---

# 5
A geometry-optimized SmSi2Ru3 structure, computed with PBE.

The structure belongs to space group P6/mmm (No. 191); the cell edges are 5.5981, 5.5981 and 3.6406 Å and the angles 90.00°, 90.00° and 120.00°. The inequivalent atoms are Sm at (0.0000, 0.0000, 0.0000), Si at (0.3333, 0.6667, 0.0000) and Ru at (0.0000, 0.5000, 0.5000).

As for the magnetic moment: 0.0 μB per formula unit. The value obtained for the formation energy from raw total energies is -658 meV/atom. As for the crystal system: hexagonal.

---

# 6
A geometry-optimized SmSi3Ru3 structure, computed with PBE.

The structure belongs to space group Pm-3n (No. 223); the cell edges are 6.481, 6.481 and 6.481 Å and the angles 90.00°, 90.00° and 90.00°. The inequivalent atoms are Sm at (0.000, 0.000, 0.000), Si at (0.000, 0.250, 0.500) and Ru at (0.000, 0.500, 0.250).

As for the magnetic moment: 0.0 μB per formula unit. The value obtained for the formation energy from raw total energies is -226 meV/atom. The energy above the most stable polymorph in this dataset is 157 meV per atom. As for the crystal system: cubic.

---

# 7
A geometry-optimized Sm2Si2Ru structure, computed with PBE.

The structure belongs to space group P4/mmm (No. 123); the cell edges are 2.944, 2.944 and 13.712 Å and the angles 90.00°, 90.00° and 90.00°. The inequivalent atoms are Sm at (0.000, 0.000, 0.126), Si at (0.000, 0.000, 0.335) and Ru at (0.000, 0.000, 0.500).

As for the magnetic moment: 0.4 μB per formula unit. The value obtained for the formation energy from raw total energies is 847 meV/atom. As for the crystal system: tetragonal.

---

# 8
A geometry-optimized SmSi4Ru4 structure, computed with PBE.

The structure belongs to space group P4_2/n (No. 86, origin choice 2); the cell edges are 7.978, 7.978 and 4.697 Å and the angles 90.00°, 90.00° and 90.00°. The inequivalent atoms are Sm at (0.250, 0.250, 0.250), Si at (0.061, 0.903, 0.165) and Ru at (0.115, 0.880, 0.659).

As for the magnetic moment: 0.0 μB per formula unit. The value obtained for the formation energy from raw total energies is -622 meV/atom. As for the crystal system: tetragonal.